Entry from Alexandria: a geometry-optimized Ba2BeGa structure (PBE).

Cell and atoms, written as CIF:
```
data_Ba2BeGa
_symmetry_space_group_name_H-M 'I -4 2 d'
_symmetry_Int_Tables_number 122
_symmetry_space_group_name_Hall 'I -4 2bw'
_cell_length_a 8.854
_cell_length_b 8.854
_cell_length_c 7.521
_cell_angle_alpha 90.00
_cell_angle_beta 90.00
_cell_angle_gamma 90.00
loop_
_atom_site_label
_atom_site_fract_x
_atom_site_fract_y
_atom_site_fract_z
Ba1 0.226 0.750 0.125
Be1 0.000 0.000 0.000
Ga1 0.000 0.000 0.500
```

Output
Calculated formation energy = 0.51 eV/atom
Energy relative to the lowest polymorph listed for this composition = 345 meV/atom
DOS at the Fermi energy = 22.3 states/eV per cell
DFT total energy = -2.143 eV/atom